GaSn3Pd, optimized geometry, DFT PBE; raw total energy = -0.2539 Ry per atom; energy of formation from the pure elements = 591 meV per atom; energy above the lowest structure with this stoichiometry = 0.7877 eV/atom
1.0
-3.842 -3.447 0.826
3.436 -3.921 -0.381
0.871 0.263 5.148
Ga Sn Pd
1 3 1
Cartesian
0.000 0.000 0.000
1.718 -1.960 -0.190
0.435 0.132 2.574
-1.921 -1.724 0.413
0.233 -3.552 2.796